No. 1
Below is a geometry-optimized LiTaCu structure, with properties calculated at the PBE-GGA level.

```
LiTaCu
1.0
7.295 0.025 -0.019
6.664 2.598 0.013
0.631 -0.676 2.483
Li Ta Cu
1 1 1
Cartesian
5.221 0.461 1.625
9.393 1.494 0.846
13.935 2.618 -0.002
```

Computed properties:
* space-group type: Fmm2 (42)
* total energy: -17.2 eV for the cell shown
* DFT formation energy: 0.2374 eV/atom

---

No. 2
Below is a geometry-optimized LiTa2Cu structure, with properties calculated at the PBE-GGA level.

```
LiTa2Cu
1.0
-1.575 -2.830 4.419
2.795 -4.378 1.744
0.091 5.350 -1.178
Ta Li Cu
2 1 1
Cartesian
1.204 -7.118 6.086
0.625 -3.695 3.159
1.748 -1.316 1.824
-0.437 -0.542 3.161
```

Computed properties:
* space-group type: Immm (71)
* total energy: -28.5 eV for the cell shown
* DFT formation energy: 0.3018 eV/atom

---

No. 3
Below is a geometry-optimized Li2TaCu structure, with properties calculated at the PBE-GGA level.

```
Li2TaCu
1.0
2.666 0.030 0.000
-0.930 2.498 0.000
0.000 0.000 9.201
Ta Li Cu
1 2 1
Cartesian
0.868 1.264 2.300
0.000 0.000 8.969
0.000 0.000 4.832
0.868 1.264 6.900
```

Computed properties:
* space-group type: Cmmm (65)
* total energy: -18.9 eV for the cell shown
* DFT formation energy: 0.2141 eV/atom

---

No. 4
Below is a geometry-optimized LiTaCu structure, with properties calculated at the PBE-GGA level.

```
LiTaCu
1.0
-1.321 2.197 -1.078
-0.501 -0.774 2.624
5.250 4.265 2.261
Cu Ta Li
1 1 1
Cartesian
0.009 0.007 0.004
2.818 3.134 2.936
0.603 2.547 0.867
```

Computed properties:
* space-group type: P3m1 (156)
* total energy: -17.1 eV for the cell shown
* DFT formation energy: 0.2563 eV/atom

---

No. 5
Below is a geometry-optimized Li2TaCu structure, with properties calculated at the PBE-GGA level.

```
Li2TaCu
1.0
2.611 0.000 0.000
0.000 4.057 0.000
0.000 0.000 5.855
Cu Li Ta
1 2 1
Cartesian
1.305 2.029 4.311
0.000 0.000 0.018
1.305 2.029 1.339
0.000 0.000 3.114
```

Computed properties:
* space-group type: Pmm2 (25)
* total energy: -18.8 eV for the cell shown
* DFT formation energy: 0.2503 eV/atom

---

No. 6
Below is a geometry-optimized Li2TaCu structure, with properties calculated at the PBE-GGA level.

```
Li2TaCu
1.0
-1.256 -2.335 -0.304
1.415 -0.473 -2.213
5.992 -3.827 4.648
Li Cu Ta
2 1 1
Cartesian
3.188 -2.036 2.473
5.800 -3.705 4.499
4.573 -4.275 2.227
1.577 -2.361 -0.096
```

Computed properties:
* space-group type: P4/mmm (123)
* total energy: -18.7 eV for the cell shown
* DFT formation energy: 0.2699 eV/atom

---

Number 1: relative energy among the computed polymorphs 0.004 eV/atom, V 46.8 Å³ per cell. Number 2: relative energy among the computed polymorphs 0.142 eV/atom, V 64.6 Å³ per cell. Number 3: relative energy among the computed polymorphs 0.025 eV/atom, V 61.5 Å³ per cell. Number 4: relative energy among the computed polymorphs 0.023 eV/atom, V 47.8 Å³ per cell. Number 5: relative energy among the computed polymorphs 0.062 eV/atom, V 62.0 Å³ per cell. Number 6: relative energy among the computed polymorphs 0.081 eV/atom, V 60.5 Å³ per cell.